Entry 1:
CaIr2: relaxed, PBE.

Values from the calculation:
Formation energy from the elements   -0.455 eV per atom
ρ   12.93 g cm⁻³
SG   No. 227

abc: 5.3626 5.3626 5.3626
angles: 60.00 60.00 60.00
With the nearest neighbours (Å) after each atom.
Fractional positions:
Ca1 0.8750 0.3750 0.3750  12 Ir 3.14, 4 Ca 3.28
Ca2 0.1250 0.6250 0.6250  12 Ir 3.14, 4 Ca 3.28
Ir1 0.0000 0.0000 0.0000  6 Ir 2.68
Ir2 0.5000 0.0000 0.5000  6 Ir 2.68
Ir3 0.5000 0.0000 0.0000  6 Ir 2.68
Ir4 0.5000 0.5000 0.0000  6 Ir 2.68



Entry 2:
LaHoSc: relaxed, PBE.

Values from the calculation:
ΔE to the lowest computed polymorph   0.0 meV per atom
Formation energy from the elements   0.052 eV per atom
ρ   6.19 g cm⁻³
SG   No. 129

abc: 3.7389 3.7388 13.3809
angles: 90.00 90.03 90.00
With the nearest neighbours (Å) after each atom.
Fractional positions:
La1 0.8722 0.2909 0.1595  8 La 3.70-3.74, 4 Ho 3.70-3.71
La2 0.3724 0.7909 0.3527  8 La 3.70-3.74, 4 Ho 3.71
Ho1 0.8727 0.2912 0.5468  5 Sc 3.32-3.60, 4 La 3.71
Ho2 0.3723 0.7912 0.9655  5 Sc 3.31-3.60, 4 La 3.70-3.71
Sc1 0.8724 0.2912 0.8160  4 Sc 3.09, 4 Ho 3.31-3.32
Sc2 0.3726 0.7912 0.6964  4 Sc 3.09, 4 Ho 3.32



Entry 3:
LaPSN2: relaxed, PBE.

Values from the calculation:
E_form (uncorrected)   6.0 eV/f.u.
ΔE to the lowest computed polymorph   1359.0 meV per atom
ρ   3.63 g cm⁻³
SG   No. 123

abc: 4.0915 4.0915 6.2868
angles: 90.00 90.00 90.00
With the nearest neighbours (Å) after each atom.
Fractional positions:
P1 0.5000 0.5000 0.5000  4 S 2.89
S1 0.0000 0.0000 0.5000  4 P 2.89, 2 La 3.14
N1 0.0000 0.5000 0.0000  2 La 2.05
N2 0.5000 0.0000 0.0000  2 La 2.05
La1 0.0000 0.0000 0.0000  4 N 2.05